(1)
8
Lattice="-0.183 -0.877 2.881 0.445 -4.273 -2.853 4.707 0.242 0.373" Properties=species:S:1:pos:R:3 comment="ZnH2Ru (PBE, relaxed)" crystal_system=orthorhombic pbc="T T T"
H 2.199 -1.795 1.173
Ru 3.653 -3.120 0.862
H 2.769 -3.113 -0.772
H 4.777 -3.010 -0.613
Zn 3.578 -0.454 0.089
Ru 1.315 -1.789 -0.461
H 0.191 -1.899 1.014
Zn 1.391 -4.455 0.312

---

(2)
3
Lattice="-3.175 4.188 3.351 -1.303 0.565 6.069 4.293 -1.081 -4.387" Properties=species:S:1:pos:R:3 comment="BaMnNi (PBE, relaxed)" crystal_system=tetragonal pbc="T T T"
Mn -1.233 1.308 2.593
Ba -0.014 0.015 0.029
Ni -3.232 3.430 6.798

---

(3)
4
Lattice="0.000 3.151 3.151 3.151 0.000 3.151 3.151 3.151 0.000" Properties=species:S:1:pos:R:3 comment="KBe2Rh (PBE, relaxed)" crystal_system=cubic pbc="T T T"
Be 4.726 4.726 4.726
K 0.000 0.000 0.000
Be 1.575 1.575 1.575
Rh 3.151 3.151 3.151

---

Number 1: uncorrected energy -0.313 Ry/atom, size of the total moment 0.00 μB per formula unit. Number 2: uncorrected energy -0.383 Ry/atom, size of the total moment 4.04 μB per formula unit. Number 3: uncorrected energy -0.228 Ry/atom, size of the total moment 0.00 μB per formula unit.